No. 1
This record from Alexandria via LeMat-Bulk describes a relaxed structure of Li2CoCuOs. The functional is PBE.

Properties
space group: P4/mmm
E above lowest polymorph: 280 meV/atom
formation enthalpy at 0 K: 1.5329 eV per atom

Geometry as POSCAR:
```
Li2CoCuOs
1.0
4.581 0.000 0.000
0.000 4.570 0.000
0.000 0.000 4.581
Li Os Co Cu
2 1 1 1
direct
0.000 0.000 0.500 Li
0.500 0.000 0.000 Li
0.000 0.000 0.000 Os
0.500 0.500 0.500 Co
0.000 0.500 0.000 Cu
```

No. 2
This record from Alexandria via LeMat-Bulk describes a relaxed structure of Li2CoCuOs. The functional is PBE.

Properties
space group: P4/mmm
E above lowest polymorph: 0 meV/atom
formation enthalpy at 0 K: 1.2526 eV per atom

Geometry as POSCAR:
```
Li2CoCuOs
1.0
-4.328 0.194 1.682
0.696 -3.705 2.216
1.523 2.461 3.636
Li Os Cu Co
2 1 1 1
direct
0.000 0.000 0.500 Li
0.500 0.000 0.000 Li
0.000 0.000 0.000 Os
0.500 0.500 0.500 Cu
0.000 0.500 0.000 Co
```

No. 3
This record from Alexandria via LeMat-Bulk describes a relaxed structure of LiCoCuRh. The functional is PBE.

Properties
space group: F-43m
formation enthalpy at 0 K: 0.0178 eV per atom

Geometry as POSCAR:
```
LiCoCuRh
1.0
4.107 0.000 0.000
2.053 3.557 0.000
2.053 1.186 3.353
Li Co Cu Rh
1 1 1 1
direct
0.750 0.750 0.750 Li
0.250 0.250 0.250 Co
0.000 0.000 0.000 Cu
0.500 0.500 0.500 Rh
```

No. 4
This record from Alexandria via LeMat-Bulk describes a relaxed structure of LiScCoCu. The functional is PBE.

Properties
space group: F-43m
formation enthalpy at 0 K: -0.0236 eV per atom

Geometry as POSCAR:
```
LiScCoCu
1.0
4.282 0.000 0.000
2.141 3.708 0.000
2.141 1.236 3.496
Co Li Cu Sc
1 1 1 1
direct
0.500 0.500 0.500 Co
0.000 0.000 0.000 Li
0.250 0.250 0.250 Cu
0.750 0.750 0.750 Sc
```

No. 5
This record from Alexandria via LeMat-Bulk describes a relaxed structure of LiCoCuSi. The functional is PBE.

Properties
space group: F-43m
calculated total energy: -4.904 eV/atom

Geometry as POSCAR:
```
LiCoCuSi
1.0
3.963 0.000 0.000
1.981 3.432 0.000
1.981 1.144 3.236
Cu Co Li Si
1 1 1 1
direct
0.000 0.000 0.000 Cu
0.500 0.500 0.500 Co
0.250 0.250 0.250 Li
0.750 0.750 0.750 Si
```

No. 6
This record from Alexandria via LeMat-Bulk describes a relaxed structure of LiCoCuSn. The functional is PBE.

Properties
space group: F-43m
formation enthalpy at 0 K: -0.0931 eV per atom

Geometry as POSCAR:
```
LiCoCuSn
1.0
4.269 0.000 0.000
2.135 3.697 0.000
2.135 1.232 3.486
Cu Li Sn Co
1 1 1 1
direct
0.750 0.750 0.750 Cu
0.500 0.500 0.500 Li
0.250 0.250 0.250 Sn
0.000 0.000 0.000 Co
```

No. 7
This record from Alexandria via LeMat-Bulk describes a relaxed structure of Li2TlCoCu. The functional is PBE.

Properties
space group: P4/mmm
formation enthalpy at 0 K: 0.4202 eV per atom

Geometry as POSCAR:
```
Li2TlCoCu
1.0
4.429 0.000 0.000
0.000 4.580 0.000
0.000 0.000 4.429
Cu Li Co Tl
1 2 1 1
direct
0.000 0.000 0.000 Cu
0.000 0.000 0.500 Li
0.500 0.000 0.000 Li
0.000 0.500 0.000 Co
0.500 0.500 0.500 Tl
```

No. 8
This record from Alexandria via LeMat-Bulk describes a relaxed structure of Li2Zn4CoCu. The functional is PBE.

Properties
space group: P2/m
formation enthalpy at 0 K: -0.1391 eV per atom

Geometry as POSCAR:
```
Li2Zn4CoCu
1.0
-0.878 -0.461 -4.047
3.773 -1.630 -0.633
1.609 -7.131 0.462
Li Cu Zn Co
2 1 4 1
direct
0.500 0.000 0.500 Li
0.000 0.000 0.000 Li
0.500 0.500 0.000 Cu
0.000 0.239 0.263 Zn
0.000 0.761 0.737 Zn
0.500 0.261 0.739 Zn
0.500 0.739 0.261 Zn
0.000 0.500 0.500 Co
```

No. 9
This record from Alexandria via LeMat-Bulk describes a relaxed structure of LuCo4Cu. The functional is PBE.

Properties
space group: F-43m
formation enthalpy at 0 K: -0.1002 eV per atom

Geometry as POSCAR:
```
LuCo4Cu
1.0
-2.166 3.292 2.824
-4.515 1.456 -0.999
-3.666 -1.318 2.886
Co Cu Lu
4 1 1
direct
0.626 0.626 0.123 Co
0.123 0.626 0.626 Co
0.626 0.123 0.626 Co
0.626 0.626 0.626 Co
0.000 0.000 0.000 Cu
0.250 0.250 0.250 Lu
```

No. 10
This record from Alexandria via LeMat-Bulk describes a relaxed structure of LuMgCoCu. The functional is PBE.

Properties
space group: F-43m
formation enthalpy at 0 K: -0.1026 eV per atom

Geometry as POSCAR:
```
LuMgCoCu
1.0
4.550 0.000 0.000
2.275 3.941 0.000
2.275 1.314 3.715
Mg Co Lu Cu
1 1 1 1
direct
0.000 0.000 0.000 Mg
0.750 0.750 0.750 Co
0.500 0.500 0.500 Lu
0.250 0.250 0.250 Cu
```

No. 11
This record from Alexandria via LeMat-Bulk describes a relaxed structure of LuPaCoCu. The functional is PBE.

Properties
space group: F-43m
formation enthalpy at 0 K: -0.0891 eV per atom

Geometry as POSCAR:
```
LuPaCoCu
1.0
4.749 0.000 0.000
2.374 4.113 0.000
2.374 1.371 3.877
Pa Co Lu Cu
1 1 1 1
direct
0.000 0.000 0.000 Pa
0.750 0.750 0.750 Co
0.500 0.500 0.500 Lu
0.250 0.250 0.250 Cu
```

No. 12
This record from Alexandria via LeMat-Bulk describes a relaxed structure of LuCoCuRu. The functional is PBE.

Properties
space group: F-43m
formation enthalpy at 0 K: -0.0150 eV per atom

Geometry as POSCAR:
```
LuCoCuRu
1.0
-0.965 -4.311 -0.022
2.511 -2.837 2.272
-1.588 -1.927 3.644
Cu Co Ru Lu
1 1 1 1
direct
0.000 0.000 0.000 Cu
0.500 0.500 0.500 Co
0.250 0.250 0.250 Ru
0.750 0.750 0.750 Lu
```

No. 13
This record from Alexandria via LeMat-Bulk describes a relaxed structure of SmLuCoCu. The functional is PBE.

Properties
space group: F-43m
formation enthalpy at 0 K: -0.1712 eV per atom

Geometry as POSCAR:
```
SmLuCoCu
1.0
4.813 0.000 0.000
2.406 4.168 0.000
2.406 1.389 3.930
Sm Co Cu Lu
1 1 1 1
direct
0.500 0.500 0.500 Sm
0.250 0.250 0.250 Co
0.750 0.750 0.750 Cu
0.000 0.000 0.000 Lu
```

No. 14
This record from Alexandria via LeMat-Bulk describes a relaxed structure of LuCoCuSn. The functional is PBE.

Properties
space group: F-43m
formation enthalpy at 0 K: -0.2787 eV per atom

Geometry as POSCAR:
```
LuCoCuSn
1.0
4.561 0.000 0.000
2.280 3.950 0.000
2.280 1.317 3.724
Lu Cu Co Sn
1 1 1 1
direct
0.750 0.750 0.750 Lu
0.500 0.500 0.500 Cu
0.000 0.000 0.000 Co
0.250 0.250 0.250 Sn
```

No. 15
This record from Alexandria via LeMat-Bulk describes a relaxed structure of TbLuCoCu. The functional is PBE.

Properties
space group: F-43m
formation enthalpy at 0 K: -0.2183 eV per atom

Geometry as POSCAR:
```
TbLuCoCu
1.0
-3.247 -1.520 -3.141
1.362 -1.392 -4.350
-0.186 -4.611 -1.194
Tb Lu Co Cu
1 1 1 1
direct
0.500 0.500 0.500 Tb
0.000 0.000 0.000 Lu
0.750 0.750 0.750 Co
0.250 0.250 0.250 Cu
```

No. 16
This record from Alexandria via LeMat-Bulk describes a relaxed structure of TmLuCoCu. The functional is PBE.

Properties
space group: F-43m
formation enthalpy at 0 K: -0.2589 eV per atom

Geometry as POSCAR:
```
TmLuCoCu
1.0
-3.438 -3.224 0.202
-0.935 -2.690 -3.761
1.074 -4.593 0.060
Tm Lu Co Cu
1 1 1 1
direct
0.500 0.500 0.500 Tm
0.000 0.000 0.000 Lu
0.250 0.250 0.250 Co
0.750 0.750 0.750 Cu
```

No. 17
This record from Alexandria via LeMat-Bulk describes a relaxed structure of YLuCoCu. The functional is PBE.

Properties
space group: F-43m
formation enthalpy at 0 K: -0.2172 eV per atom

Geometry as POSCAR:
```
YLuCoCu
1.0
-0.731 -4.447 -1.549
2.583 -1.718 -3.618
3.274 -3.370 0.798
Y Co Cu Lu
1 1 1 1
direct
0.750 0.750 0.750 Y
0.500 0.500 0.500 Co
0.000 0.000 0.000 Cu
0.250 0.250 0.250 Lu
```

No. 18
This record from Alexandria via LeMat-Bulk describes a relaxed structure of LuZnCoCu. The functional is PBE.

Properties
space group: F-43m
formation enthalpy at 0 K: -0.1299 eV per atom

Geometry as POSCAR:
```
LuZnCoCu
1.0
4.423 0.000 0.000
2.211 3.830 0.000
2.211 1.277 3.611
Zn Lu Cu Co
1 1 1 1
direct
0.500 0.500 0.500 Zn
0.000 0.000 0.000 Lu
0.250 0.250 0.250 Cu
0.750 0.750 0.750 Co
```

No. 19
This record from Alexandria via LeMat-Bulk describes a relaxed structure of Mg14CoCu. The functional is PBE.

Properties
space group: P-6m2
formation enthalpy at 0 K: 0.0628 eV per atom

Geometry as POSCAR:
```
Mg14CoCu
1.0
3.095 -5.361 0.000
3.095 5.361 0.000
0.000 0.000 9.861
Mg Cu Co
14 1 1
direct
0.682 0.841 0.255 Mg
0.159 0.318 0.255 Mg
0.000 0.500 0.000 Mg
0.667 0.333 0.249 Mg
0.159 0.841 0.745 Mg
0.682 0.841 0.745 Mg
0.667 0.333 0.751 Mg
0.501 0.001 0.500 Mg
0.159 0.318 0.745 Mg
0.159 0.841 0.255 Mg
0.999 0.499 0.500 Mg
0.500 0.500 0.000 Mg
0.500 0.000 0.000 Mg
0.501 0.499 0.500 Mg
0.000 0.000 0.000 Cu
0.000 0.000 0.500 Co
```

No. 20
This record from Alexandria via LeMat-Bulk describes a relaxed structure of Mg4CoCu. The functional is PBE.

Properties
space group: F-43m
formation enthalpy at 0 K: 0.5508 eV per atom

Geometry as POSCAR:
```
Mg4CoCu
1.0
0.000 3.842 3.842
3.842 0.000 3.842
3.842 3.842 0.000
Mg Cu Co
4 1 1
direct
0.375 0.375 0.874 Mg
0.375 0.874 0.375 Mg
0.375 0.375 0.375 Mg
0.874 0.375 0.375 Mg
0.000 0.000 0.000 Cu
0.750 0.750 0.750 Co
```

Number 1: size of the total moment 0.474 μB per atom. Number 2: size of the total moment 0.313 μB per atom. Number 3: size of the total moment 0.617 μB per atom. Number 4: size of the total moment 0.000 μB per atom. Number 5: size of the total moment 0.000 μB per atom. Number 6: size of the total moment 0.000 μB per atom. Number 7: size of the total moment 0.289 μB per atom. Number 8: size of the total moment 0.008 μB per atom. Number 9: size of the total moment 0.985 μB per atom. Number 10: size of the total moment 0.001 μB per atom. Number 11: size of the total moment 0.000 μB per atom. Number 12: size of the total moment 0.600 μB per atom. Number 13: size of the total moment 0.096 μB per atom. Number 14: size of the total moment 0.010 μB per atom. Number 15: size of the total moment 0.086 μB per atom. Number 16: size of the total moment 0.074 μB per atom. Number 17: size of the total moment 0.081 μB per atom. Number 18: size of the total moment 0.000 μB per atom. Number 19: size of the total moment 0.060 μB per atom. Number 20: size of the total moment 0.185 μB per atom.